VASP calculation (GGA-PBE) on a relaxed Er2H2ICl3 crystal.

extended XYZ file:
```
8
Lattice="3.767 0.000 0.000 -1.883 3.262 0.000 0.000 0.000 14.513" Properties=species:S:1:pos:R:3 pbc="T T T"
I 0.000 2.175 12.911
H 0.000 2.175 3.632
Cl 0.000 2.175 9.037
Cl 1.883 1.087 5.374
Er 0.000 0.000 3.638
Er 0.000 0.000 10.746
H 1.883 1.087 10.808
Cl 1.883 1.087 1.907
```

## Properties
The uncorrected energy is -4.4705 eV per atom. Its symmetry is P3m1 (156).